The following is a DFT calculation (GGA+U) of an optimized crystal structure of HfNiF3.

Calculated values
The distance to the lowest polymorph of the same formula comes out at 905 meV per atom. The calculation puts the total magnetization at 0.00 μB/atom.

Cell and atoms, written as POSCAR:
```
HfNiF3
1.0
4.019 0.000 0.000
0.000 4.019 0.000
0.000 0.000 4.019
Ni Hf F
1 1 3
direct
0.000 0.000 0.000
0.500 0.500 0.500
0.000 0.500 0.000
0.000 0.000 0.500
0.500 0.000 0.000
```